A plane-wave DFT calculation with PBE was carried out for an optimized crystal structure of K2TlCu2F7.

Cell: 4.140 4.140 11.069 Å, 79.20 79.20 90.00°
Element x y z (fractional)
K 0.815 0.815 0.370
K 0.185 0.185 0.630
Tl 0.000 0.000 0.000
Cu 0.598 0.598 0.805
Cu 0.402 0.402 0.195
F 0.500 0.500 0.000
F 0.308 0.308 0.383
F 0.692 0.692 0.617
F 0.901 0.401 0.197
F 0.401 0.901 0.197
F 0.599 0.099 0.803
F 0.099 0.599 0.803

- ΔE_f (raw): -2.02 eV/atom
- Space group: No. 139

A plane-wave DFT calculation with PBE was carried out for an optimized crystal structure of Cu3H5Pd3.

Cell: 2.934 4.055 8.626 Å, 90.00 90.00 90.00°
Element x y z (fractional)
Cu 0.000 0.250 0.668
Cu 0.500 0.786 0.500
Cu 0.000 0.250 0.332
H 0.000 0.992 0.162
H 0.000 0.992 0.838
H 0.000 0.023 0.500
H 0.500 0.497 0.653
H 0.500 0.497 0.347
Pd 0.500 0.729 0.173
Pd 0.000 0.255 0.000
Pd 0.500 0.729 0.827

- VASP energy: -4.04 eV/atom
- Space group: No. 25

A plane-wave DFT calculation with PBE was carried out for an optimized crystal structure of ErMg9Ag2.

Cell: 7.548 9.229 9.229 Å, 80.37 65.86 65.86°
Element x y z (fractional)
Er 0.500 0.000 0.000
Er 0.250 0.500 0.500
Mg 0.750 0.500 0.500
Mg 0.000 0.000 0.000
Mg 0.003 0.923 0.680
Mg 0.606 0.077 0.320
Mg 0.676 0.180 0.577
Mg 0.433 0.820 0.423
Mg 0.747 0.820 0.577
Mg 0.144 0.180 0.423
Mg 0.074 0.923 0.320
Mg 0.317 0.077 0.680
Mg 0.747 0.577 0.820
Mg 0.144 0.423 0.180
Mg 0.074 0.320 0.923
Mg 0.317 0.680 0.077
Mg 0.003 0.680 0.923
Mg 0.606 0.320 0.077
Mg 0.676 0.577 0.180
Mg 0.433 0.423 0.820
Ag 0.875 0.250 0.750
Ag 0.875 0.750 0.250
Ag 0.875 0.250 0.250
Ag 0.375 0.750 0.750

- ΔH_f (0 K): -0.08 eV/atom
- Space group: No. 141

A plane-wave DFT calculation with PBE was carried out for an optimized crystal structure of LiTaC2F.

Cell: 3.738 3.309 3.738 Å, 90.00 90.00 90.00°
Element x y z (fractional)
C 0.000 0.000 0.500
C 0.500 0.000 0.000
F 0.000 0.500 0.000
Li 0.000 0.000 0.000
Ta 0.500 0.500 0.500

- ΔE_f (raw): 0.76 eV/atom
- Space group: No. 123